1.
The following is a DFT calculation (SCAN) of a PBEsol-optimized structure of LiMg.

## Properties
The formation enthalpy at 0 K is -0.055 eV per atom. Its total magnetic moment is 0.0 μB per formula unit. The calculation puts the density of states at the Fermi level at 0.788 states/eV/f.u.

Lattice parameters (Å, degrees): 3.3487 4.8697 5.6786 115.39 107.15 90.00
Last column: nearest neighbours and their distance in Å.
Positions (direct):
1 Mg 0.8841 0.1341 0.7682  6 Li 2.94-2.96, 2 Mg 3.09
2 Mg 0.1159 0.8659 0.2318  6 Li 2.94-2.96, 2 Mg 3.09
3 Li 0.3668 0.6168 0.7335  2 Li 2.82, 6 Mg 2.94-2.96
4 Li 0.6332 0.3832 0.2665  2 Li 2.82, 6 Mg 2.94-2.96



2.
The following is a DFT calculation (SCAN) of a PBEsol-optimized structure of BaSiSb2Os.

## Properties
The calculation puts the formation energy from raw total energies at 259.2 kJ/mol of formula units. Its total magnetic moment is 0.0 μB per formula unit. The calculation puts the density of states at the Fermi level at 5.801 states/eV/f.u.

Lattice parameters (Å, degrees): 5.0402 5.0402 5.8049 90.00 90.00 90.00
Last column: nearest neighbours and their distance in Å.
Positions (direct):
1 Sb 0.0000 0.5000 0.0000  2 Os 2.52
2 Sb 0.5000 0.0000 0.0000  2 Os 2.52
3 Si 0.5000 0.5000 0.5000  4 Ba 3.56, 8 Sb 3.84
4 Os 0.0000 0.0000 0.0000  4 Sb 2.52
5 Ba 0.0000 0.0000 0.5000  2 Os 2.90



3.
The following is a DFT calculation (SCAN) of a PBEsol-optimized structure of BaCaAl2.

## Properties
The formation enthalpy at 0 K is -0.162 eV per atom. Its relative energy among the computed polymorphs is 0 meV per atom. Its total magnetic moment is 0.0 μB per formula unit. The calculation puts the density of states at the Fermi level at 1.802 states/eV/f.u.

Lattice parameters (Å, degrees): 4.0030 4.5978 6.9896 90.00 106.64 90.00
Last column: nearest neighbours and their distance in Å.
Positions (direct):
1 Ca 0.7653 0.5000 0.5306  6 Al 3.19-3.22
2 Ba 0.4659 0.0000 0.9318  7 Al 3.41-3.72
3 Al 0.1884 0.0000 0.3768  2 Al 2.72
4 Al 0.0797 0.5000 0.1593  2 Al 2.72



4.
The following is a DFT calculation (SCAN) of a PBEsol-optimized structure of InAgAu.

## Properties
The formation enthalpy at 0 K is -0.133 eV per atom. Its relative energy among the computed polymorphs is 0 meV per atom. Its total magnetic moment is 0.0 μB per formula unit. The calculation puts the density of states at the Fermi level at 1.037 states/eV/f.u.

Lattice parameters (Å, degrees): 4.4945 4.4945 4.4945 60.00 60.00 60.00
Last column: nearest neighbours and their distance in Å.
Positions (direct):
1 Au 0.2500 0.2500 0.2500  4 Ag 2.75, 4 In 2.75
2 Ag 0.5000 0.5000 0.5000  4 Au 2.75
3 In 0.0000 0.0000 0.0000  4 Au 2.75



5.
The following is a DFT calculation (SCAN) of a PBEsol-optimized structure of LiMo2Se.

## Properties
The calculation puts the formation energy from raw total energies at 91.4 kJ/mol of formula units. Its total magnetic moment is 0.0 μB per formula unit. The calculation puts the density of states at the Fermi level at 2.364 states/eV/f.u.

Lattice parameters (Å, degrees): 3.0857 4.4314 4.6312 100.04 90.00 110.37
Last column: nearest neighbours and their distance in Å.
Positions (direct):
1 Li 0.7599 0.5198 0.2684  3 Se 2.50-2.56, 5 Mo 2.54-2.75
2 Mo 0.0060 0.0121 0.0155  1 Mo 2.44, 3 Li 2.54-2.70, 2 Se 2.61
3 Mo 0.2335 0.4669 0.7490  1 Mo 2.44, 2 Se 2.62
4 Se 0.5006 0.0012 0.4671  3 Li 2.50-2.56, 5 Mo 2.61-2.78



6.
The following is a DFT calculation (SCAN) of a PBEsol-optimized structure of Ir3CO.

## Properties
The calculation puts the formation energy from raw total energies at 1092.3 kJ/mol of formula units. Its total magnetic moment is 0.0 μB per formula unit. The calculation puts the density of states at the Fermi level at 3.736 states/eV/f.u.

Lattice parameters (Å, degrees): 4.0269 4.0269 4.0269 90.00 90.00 90.00
Last column: nearest neighbours and their distance in Å.
Positions (direct):
1 C 0.5000 0.5000 0.5000  12 Ir 2.85
2 Ir 0.0000 0.5000 0.0000  2 O 2.01
3 Ir 0.0000 0.0000 0.5000  2 O 2.01
4 Ir 0.5000 0.0000 0.0000  2 O 2.01
5 O 0.0000 0.0000 0.0000  6 Ir 2.01



7.
The following is a DFT calculation (SCAN) of a PBEsol-optimized structure of InTcHgIr2.

## Properties
The formation enthalpy at 0 K is 1.246 eV per atom. Its total magnetic moment is 0.0 μB per formula unit. The calculation puts the density of states at the Fermi level at 4.099 states/eV/f.u.

Lattice parameters (Å, degrees): 4.6499 4.6499 5.1067 90.00 90.00 90.00
Last column: nearest neighbours and their distance in Å.
Positions (direct):
1 Tc 0.0000 0.0000 0.0000  4 Ir 2.32, 2 In 2.55
2 Ir 0.0000 0.5000 0.0000  2 Tc 2.32
3 Ir 0.5000 0.0000 0.0000  2 Tc 2.32
4 Hg 0.5000 0.5000 0.5000  4 In 3.29, 8 Ir 3.45
5 In 0.0000 0.0000 0.5000  2 Tc 2.55



8.
The following is a DFT calculation (SCAN) of a PBEsol-optimized structure of LaCN2O.

## Properties
The calculation puts the formation energy from raw total energies at 122.8 kJ/mol of formula units. Its total magnetic moment is 0.0 μB per formula unit. The calculation puts the density of states at the Fermi level at 1.573 states/eV/f.u.

Lattice parameters (Å, degrees): 3.3931 3.3931 4.2648 90.00 90.00 90.00
Last column: nearest neighbours and their distance in Å.
Positions (direct):
1 C 0.0000 0.0000 0.0000  4 N 1.70
2 N 0.0000 0.5000 0.0000  2 C 1.70
3 N 0.5000 0.0000 0.0000  2 C 1.70
4 O 0.0000 0.0000 0.5000  2 C 2.13
5 La 0.5000 0.5000 0.5000  4 O 2.40



9.
The following is a DFT calculation (SCAN) of a PBEsol-optimized structure of WAu3Cl.

## Properties
Its relative energy among the computed polymorphs is 716 meV per atom. The calculation puts the formation energy from raw total energies at 924.0 kJ/mol of formula units. Its total magnetic moment is 4.3 μB per formula unit. The calculation puts the density of states at the Fermi level at 3.475 states/eV/f.u.

Lattice parameters (Å, degrees): 4.7101 4.7101 4.7101 90.00 90.00 90.00
Last column: nearest neighbours and their distance in Å.
Positions (direct):
1 Au 0.0000 0.5000 0.0000  2 Cl 2.36
2 Au 0.0000 0.0000 0.5000  2 Cl 2.36
3 Au 0.5000 0.0000 0.0000  2 Cl 2.36
4 W 0.5000 0.5000 0.5000  12 Au 3.33
5 Cl 0.0000 0.0000 0.0000  6 Au 2.36



10.
The following is a DFT calculation (SCAN) of a PBEsol-optimized structure of Li2SiMo.

## Properties
The calculation puts the formation energy from raw total energies at 5.2 kJ/mol of formula units. Its total magnetic moment is 0.4 μB per formula unit. The calculation puts the density of states at the Fermi level at 1.869 states/eV/f.u.

Lattice parameters (Å, degrees): 3.5007 3.5007 4.4254 90.00 90.00 90.00
Last column: nearest neighbours and their distance in Å.
Positions (direct):
1 Mo 0.5000 0.5000 0.5000  4 Si 2.48
2 Si 0.0000 0.0000 0.5000  4 Mo 2.48
3 Li 0.0000 0.5000 0.0000  4 Li 2.48
4 Li 0.5000 0.0000 0.0000  4 Li 2.48



11.
The following is a DFT calculation (SCAN) of a PBEsol-optimized structure of ZrGe3Cl.

## Properties
The calculation puts the formation energy from raw total energies at 346.6 kJ/mol of formula units. Its total magnetic moment is 0.0 μB per formula unit. The calculation puts the density of states at the Fermi level at 2.633 states/eV/f.u.

Lattice parameters (Å, degrees): 4.7327 4.7327 4.7327 90.00 90.00 90.00
Last column: nearest neighbours and their distance in Å.
Positions (direct):
1 Ge 0.0000 0.5000 0.0000  2 Cl 2.37
2 Ge 0.0000 0.0000 0.5000  2 Cl 2.37
3 Ge 0.5000 0.0000 0.0000  2 Cl 2.37
4 Zr 0.5000 0.5000 0.5000  12 Ge 3.35
5 Cl 0.0000 0.0000 0.0000  6 Ge 2.37



12.
The following is a DFT calculation (SCAN) of a PBEsol-optimized structure of Al2RuClF.

## Properties
The calculation puts the formation energy from raw total energies at 155.8 kJ/mol of formula units. Its total magnetic moment is 2.0 μB per formula unit. The calculation puts the density of states at the Fermi level at 1.403 states/eV/f.u.

Lattice parameters (Å, degrees): 4.0761 4.7263 4.7263 90.00 90.00 90.00
Last column: nearest neighbours and their distance in Å.
Positions (direct):
1 Ru 0.5000 0.0000 0.0000  2 F 2.04
2 F 0.0000 0.0000 0.0000  2 Ru 2.04
3 Al 0.0000 0.0000 0.5000  2 F 2.36
4 Al 0.0000 0.5000 0.0000  2 F 2.36
5 Cl 0.5000 0.5000 0.5000  8 Al 3.12, 4 Ru 3.34



13.
The following is a DFT calculation (SCAN) of a PBEsol-optimized structure of HgPb2.

## Properties
The formation enthalpy at 0 K is 0.051 eV per atom. Its relative energy among the computed polymorphs is 32 meV per atom. Its total magnetic moment is 0.0 μB per formula unit. The calculation puts the density of states at the Fermi level at 1.318 states/eV/f.u.

Lattice parameters (Å, degrees): 5.9537 6.0685 6.0685 76.08 60.62 60.62
Last column: nearest neighbours and their distance in Å.
Positions (direct):
1 Hg 0.2500 0.0000 0.0000  2 Hg 2.98, 8 Pb 3.19
2 Hg 0.7500 0.0000 0.0000  2 Hg 2.98, 8 Pb 3.19
3 Pb 0.8440 0.5000 0.8120  4 Hg 3.19, 1 Pb 3.30
4 Pb 0.1560 0.5000 0.1880  4 Hg 3.19, 1 Pb 3.30
5 Pb 0.3440 0.8120 0.5000  4 Hg 3.19, 1 Pb 3.30
6 Pb 0.6560 0.1880 0.5000  4 Hg 3.19, 1 Pb 3.30



14.
The following is a DFT calculation (SCAN) of a PBEsol-optimized structure of Al2TcF.

## Properties
The calculation puts the formation energy from raw total energies at -85.3 kJ/mol of formula units. Its total magnetic moment is 1.7 μB per formula unit. The calculation puts the density of states at the Fermi level at 1.915 states/eV/f.u.

Lattice parameters (Å, degrees): 4.3097 4.3097 4.3097 60.00 60.00 60.00
Last column: nearest neighbours and their distance in Å.
Positions (direct):
1 F 0.0000 0.0000 0.0000  8 Al 2.64
2 Tc 0.5000 0.5000 0.5000  8 Al 2.64
3 Al 0.2500 0.2500 0.2500  4 F 2.64, 4 Tc 2.64
4 Al 0.7500 0.7500 0.7500  4 Tc 2.64, 4 F 2.64